Entry a
An optimized crystal structure of LuMn2V. Source: the Alexandria database, functional PBE-GGA.

```
LuMn2V
1.0
-2.801 -0.391 -1.101
0.337 -3.008 0.211
-2.456 0.160 6.190
Lu Mn V
1 2 1
Direct
0.500 0.500 0.500
0.000 0.000 0.797
0.000 0.000 0.203
0.500 0.500 0.000
```

Computed properties:
- volume (Å³/atom) = 15.34
- SG = No. 123

Entry b
An optimized crystal structure of LuMn2V. Source: the Alexandria database, functional PBE-GGA.

```
LuMn2V
1.0
3.027 0.000 0.000
1.514 2.622 0.000
1.514 0.874 8.179
Lu Mn V
1 2 1
Direct
0.500 0.500 0.500
0.738 0.738 0.786
0.262 0.262 0.214
0.000 0.000 0.000
```

Computed properties:
- volume (Å³/atom) = 16.23
- SG = No. 166

The structure shown above that is least stable: entry b.